# 1
KMn2Pb: relaxed, PBE.

SG: Fm-3m (225)
ΔE_f: 0.79 eV/atom
Crystal system: cubic

a b c (Å): 5.1492 5.1492 5.1492
angles (deg): 60.00 60.00 60.00
Site moments in Bohr magnetons follow the coordinates.
Element x y z (fractional)
1 Mn 0.7500 0.7500 0.7500  4.03
2 Mn 0.2500 0.2500 0.2500  4.03
3 K 0.0000 0.0000 0.0000  0.03
4 Pb 0.5000 0.5000 0.5000  -0.06

=====

# 2
Re5Ru: relaxed, PBE.

SG: Cm (8)
ΔE_f: -0.04 eV/atom
Crystal system: monoclinic

a b c (Å): 2.7667 5.2396 6.5448
angles (deg): 76.20 90.00 105.31
Element x y z (fractional)
1 Re 0.3878 0.7757 0.7214
2 Re 0.6675 0.3350 0.6685
3 Re 0.3317 0.6634 0.3313
4 Re 0.0576 0.1151 0.3867
5 Re 0.0004 0.0008 0.0008
6 Ru 0.7216 0.4433 0.0579

=====

# 3
ScCdRu2: relaxed, PBE.

SG: I-4m2 (119)
ΔE_f: 0.03 eV/atom
Crystal system: tetragonal

a b c (Å): 5.0764 5.0764 5.0764
angles (deg): 133.82 133.82 67.37
Site moments in Bohr magnetons follow the coordinates.
Element x y z (fractional)
1 Cd 0.7500 0.2500 0.5000  0.00
2 Ru 0.0000 0.0000 0.0000  0.35
3 Ru 0.2500 0.7500 0.5000  0.53
4 Sc 0.5000 0.5000 0.0000  -0.04

=====

Q: ΔE_f of number 1 (KMn2Pb)?
A: 0.79 eV/atom